Computed, not measured: a relaxed structure of AcTlSiSe4 at the PBE level of DFT.

a = 7.059 Å, b = 6.991 Å, c = 9.148 Å
α = 90.00°, β = 106.85°, γ = 90.00°
Space group P2_1/m (No. 11)
Asymmetric unit:
Ac 0.238 0.250 0.055 x2
Tl 0.260 0.250 0.567 x2
Si 0.211 0.750 0.807 x2
Se 0.001 0.506 0.236 x4
Se 0.383 0.750 0.064 x2
Se 0.405 0.750 0.649 x2

Summary:
The total energy comes out at -4.769 eV/atom. Its uncorrected formation energy is -1.08 eV per atom. The crystal system is monoclinic.

Computed, not measured: a relaxed structure of DyHoFe4 at the PBE level of DFT.

a = 7.249 Å, b = 7.249 Å, c = 7.249 Å
α = 90.00°, β = 90.00°, γ = 90.00°
Space group F-43m (No. 216)
Asymmetric unit:
Dy 0.000 0.000 0.000 x4
Ho 0.250 0.250 0.750 x4
Fe 0.125 0.125 0.375 x16

Summary:
The total energy comes out at -7.263 eV/atom. Its formation energy is -0.09 eV per atom. The crystal system is cubic.

Computed, not measured: a relaxed structure of LaZrRh2 at the PBE level of DFT.

a = 3.912 Å, b = 3.912 Å, c = 5.722 Å
α = 90.00°, β = 90.00°, γ = 90.00°
Space group P4mm (No. 99)
Asymmetric unit:
La 0.000 0.000 0.000 x1
Zr 0.500 0.500 0.575 x1
Rh 0.000 0.000 0.500 x1
Rh 0.500 0.500 0.084 x1

Summary:
The total energy comes out at -7.531 eV/atom. Its formation energy is -0.49 eV per atom. The crystal system is tetragonal.

Computed, not measured: a relaxed structure of MgB3Ru at the PBE level of DFT.

a = 4.039 Å, b = 4.039 Å, c = 4.039 Å
α = 90.00°, β = 90.00°, γ = 90.00°
Space group Pm-3m (No. 221)
Asymmetric unit:
Mg 0.000 0.000 0.000 x1
B 0.000 0.000 0.500 x3
Ru 0.500 0.500 0.500 x1

Summary:
The value obtained for the relative energy among the computed polymorphs is 1759.3 meV/atom. The total energy comes out at -3.575 eV/atom. Its formation energy is 2.61 eV per atom. The crystal system is cubic.

Computed, not measured: a relaxed structure of CaZrAlIr2 at the PBE level of DFT.

a = 4.238 Å, b = 4.238 Å, c = 11.461 Å
α = 90.00°, β = 90.00°, γ = 90.00°
Space group I-4m2 (No. 119)
Asymmetric unit:
Ca 0.000 0.000 0.000 x2
Zr 0.000 0.500 0.250 x2
Al 0.000 0.500 0.750 x2
Ir 0.000 0.000 0.388 x4

Summary:
The total energy comes out at -7.134 eV/atom. Its formation energy is -0.73 eV per atom. The crystal system is tetragonal.

Computed, not measured: a relaxed structure of Ti2TcHIr at the PBE level of DFT.

a = 4.271 Å, b = 4.271 Å, c = 3.455 Å
α = 90.00°, β = 90.00°, γ = 90.00°
Space group P4/mmm (No. 123)
Asymmetric unit:
Ti 0.000 0.500 0.000 x2
Tc 0.000 0.000 0.500 x1
H 0.000 0.000 0.000 x1
Ir 0.500 0.500 0.500 x1

Summary:
The value obtained for the relative energy among the computed polymorphs is 0.0 meV/atom. The total energy comes out at -8.212 eV/atom. The crystal system is tetragonal.

Computed, not measured: a relaxed structure of PmDyNiPd at the PBE level of DFT.

a = 4.452 Å, b = 3.825 Å, c = 10.407 Å
α = 90.00°, β = 90.00°, γ = 90.00°
Space group Amm2 (No. 38)
Asymmetric unit:
Pm 0.000 0.000 0.000 x2
Dy 0.500 0.000 0.722 x2
Ni 0.000 0.000 0.277 x2
Pd 0.500 0.000 0.435 x2

Summary:
The value obtained for the relative energy among the computed polymorphs is 0.0 meV/atom. The total energy comes out at -5.699 eV/atom. Its formation energy is -0.62 eV per atom. The crystal system is orthorhombic.

Computed, not measured: a relaxed structure of BeInSe2N at the PBE level of DFT.

a = 5.334 Å, b = 5.334 Å, c = 3.155 Å
α = 90.00°, β = 90.00°, γ = 90.00°
Space group P4/mmm (No. 123)
Asymmetric unit:
Be 0.000 0.000 0.000 x1
In 0.500 0.500 0.500 x1
Se 0.000 0.500 0.000 x2
N 0.000 0.000 0.500 x1

Summary:
The value obtained for the relative energy among the computed polymorphs is 0.0 meV/atom. The total energy comes out at -4.043 eV/atom. Its uncorrected formation energy is 0.31 eV per atom. The crystal system is tetragonal.

Computed, not measured: a relaxed structure of La2Pm3Ho3 at the PBE level of DFT.

a = 5.134 Å, b = 5.150 Å, c = 20.444 Å
α = 90.00°, β = 90.00°, γ = 90.00°
Space group Immm (No. 71)
Asymmetric unit:
La 0.000 0.000 0.250 x4
Pm 0.000 0.000 0.000 x2
Pm 0.000 0.500 0.122 x4
Ho 0.000 0.000 0.500 x2
Ho 0.000 0.500 0.378 x4

Summary:
The value obtained for the relative energy among the computed polymorphs is 0.0 meV/atom. The total energy comes out at -4.708 eV/atom. Its formation energy is 0.02 eV per atom. The crystal system is orthorhombic.

Computed, not measured: a relaxed structure of CaGeIO2 at the PBE level of DFT.

a = 4.156 Å, b = 4.156 Å, c = 5.545 Å
α = 90.00°, β = 90.00°, γ = 90.00°
Space group P4/mmm (No. 123)
Asymmetric unit:
Ca 0.000 0.000 0.000 x1
Ge 0.500 0.500 0.500 x1
I 0.500 0.500 0.000 x1
O 0.000 0.500 0.500 x2

Summary:
The value obtained for the relative energy among the computed polymorphs is 0.0 meV/atom. The total energy comes out at -4.471 eV/atom. Its uncorrected formation energy is -0.85 eV per atom. The crystal system is tetragonal.